CoBiP2O8: optimized geometry, GGA+U.

The space group is P-3m1 (No. 164) and the conventional cell measures 5.1589, 5.1589 and 6.6110 Å, with angles of 90.00, 90.00 and 120.00 degrees. The distinct sites, in fractional coordinates, are Co at (0.0000, 0.0000, 0.0000), Bi at (0.0000, 0.0000, 0.5000), P at (0.3333, 0.6667, 0.7304), O at (0.1684, 0.3367, 0.8045) and O at (0.3333, 0.6667, 0.4981).

The calculation puts the theoretical density at 4.99 g cm⁻³. The total magnetic moment is 4.00 μB per cell. For the calculated total energy, the calculation gives -0.245 Ha/atom.